# 1
Compound: AgSbTe3Pt
Source: OQMD
Functional: PBE
Structure: optimized geometry

a = 5.4326 Å, b = 8.8188 Å, c = 14.6068 Å
α = 90.00°, β = 90.00°, γ = 90.00°
Sites, in units of the cell vectors:
Ag 0.5613 0.9029 0.0421
Ag 0.4387 0.4029 0.4579
Ag 0.9387 0.0971 0.5421
Ag 0.0613 0.5971 0.9579
Pt 0.0453 0.1603 0.2400
Pt 0.9547 0.6603 0.2600
Pt 0.4547 0.8397 0.7400
Pt 0.5453 0.3397 0.7600
Sb 0.3974 0.3592 0.1594
Sb 0.6026 0.8592 0.3406
Sb 0.1026 0.6408 0.6594
Sb 0.8974 0.1408 0.8406
Te 0.7845 0.1708 0.0844
Te 0.7338 0.6244 0.1014
Te 0.2252 0.8914 0.1961
Te 0.7748 0.3914 0.3039
Te 0.2662 0.1244 0.3986
Te 0.2155 0.6708 0.4156
Te 0.7155 0.8292 0.5844
Te 0.7662 0.3756 0.6014
Te 0.2748 0.1086 0.6961
Te 0.7252 0.6086 0.8039
Te 0.2338 0.8756 0.8986
Te 0.2845 0.3292 0.9156

Values from the calculation:
V: 699.8 Å³ per cell
E: -3.905 eV per atom
Spin magnetization: 0.0 μB/cell

# 2
Compound: ScAg2Pt
Source: OQMD
Functional: PBE
Structure: optimized geometry

a = 4.6387 Å, b = 4.6387 Å, c = 4.6387 Å
α = 60.00°, β = 60.00°, γ = 60.00°
Sites, in units of the cell vectors:
Ag 0.2500 0.2500 0.2500
Ag 0.5000 0.5000 0.5000
Pt 0.0000 0.0000 0.0000
Sc 0.7500 0.7500 0.7500

Values from the calculation:
ΔE_f: -0.48 eV/atom
V: 70.6 Å³ per cell
Spin magnetization: 0.0 μB/cell

# 3
Compound: TlAgTePtSe2
Source: OQMD
Functional: PBE
Structure: optimized geometry

a = 7.6868 Å, b = 7.6868 Å, c = 11.1982 Å
α = 90.00°, β = 90.00°, γ = 152.10°
Sites, in units of the cell vectors:
Ag 0.1298 0.8702 0.2500
Ag 0.8702 0.1298 0.7500
Pt 0.5000 0.5000 0.0000
Pt 0.5000 0.5000 0.5000
Se 0.1138 0.8862 0.0142
Se 0.1138 0.8862 0.4858
Se 0.8862 0.1138 0.5142
Se 0.8862 0.1138 0.9858
Te 0.4720 0.5280 0.2500
Te 0.5280 0.4720 0.7500
Tl 0.7898 0.2102 0.2500
Tl 0.2102 0.7898 0.7500

Values from the calculation:
V: 309.6 Å³ per cell
E: -3.781 eV per atom
Spin magnetization: 0.0 μB/cell

# 4
Compound: TlAgTe2PtSe
Source: OQMD
Functional: PBE
Structure: optimized geometry

a = 7.1095 Å, b = 7.1095 Å, c = 11.1314 Å
α = 90.00°, β = 90.00°, γ = 147.06°
Sites, in units of the cell vectors:
Ag 0.9008 0.0992 0.2500
Ag 0.0992 0.9008 0.7500
Pt 0.5000 0.5000 0.0000
Pt 0.5000 0.5000 0.5000
Se 0.5377 0.4623 0.2500
Se 0.4623 0.5377 0.7500
Te 0.8714 0.1286 0.0087
Te 0.8714 0.1286 0.4913
Te 0.1286 0.8714 0.5087
Te 0.1286 0.8714 0.9913
Tl 0.2300 0.7700 0.2500
Tl 0.7700 0.2300 0.7500

Values from the calculation:
V: 305.9 Å³ per cell
E: -3.665 eV per atom
Spin magnetization: 0.0 μB/cell

# 5
Compound: TlAgPtSe3
Source: OQMD
Functional: PBE
Structure: optimized geometry

a = 3.7846 Å, b = 7.0846 Å, c = 10.9982 Å
α = 90.00°, β = 90.00°, γ = 74.51°
Each line ends with the local moment (μB).
Sites, in units of the cell vectors:
Ag 0.6296 0.7408 0.2500  0.01
Ag 0.3704 0.2592 0.7500  0.01
Pt 0.0000 0.0000 0.0000  0.02
Pt 0.0000 0.0000 0.5000  0.02
Se 0.6208 0.7584 0.0142  0.01
Se 0.9779 0.0442 0.2500  0.08
Se 0.6208 0.7584 0.4858  0.01
Se 0.3792 0.2416 0.5142  0.01
Se 0.0221 0.9558 0.7500  0.08
Se 0.3792 0.2416 0.9858  0.01
Tl 0.3010 0.3980 0.2500  0.00
Tl 0.6990 0.6020 0.7500  0.00

Values from the calculation:
V: 284.2 Å³ per cell
E: -3.826 eV per atom
Spin magnetization: 0.4 μB/cell

# 6
Compound: SiAgPt
Source: OQMD
Functional: PBE
Structure: optimized geometry

a = 4.1588 Å, b = 4.1588 Å, c = 4.1588 Å
α = 60.00°, β = 60.00°, γ = 60.00°
Sites, in units of the cell vectors:
Ag 0.2500 0.2500 0.2500
Pt 0.7500 0.7500 0.7500
Si 0.0000 0.0000 0.0000

Values from the calculation:
V: 50.9 Å³ per cell
E: -4.972 eV per atom
Spin magnetization: 0.0 μB/cell

# 7
Compound: Sm3AgPt8
Source: OQMD
Functional: PBE
Structure: optimized geometry

a = 9.4524 Å, b = 9.4524 Å, c = 9.4524 Å
α = 33.49°, β = 33.49°, γ = 33.49°
Sites, in units of the cell vectors:
Ag 0.1295 0.1295 0.1295
Pt 0.5629 0.5629 0.0586
Pt 0.5628 0.0625 0.0625
Pt 0.0625 0.5628 0.0625
Pt 0.3120 0.3120 0.3120
Pt 0.0625 0.0625 0.5628
Pt 0.5629 0.0585 0.5629
Pt 0.0585 0.5629 0.5629
Pt 0.8118 0.8118 0.8118
Sm 0.0098 0.0098 0.0098
Sm 0.4926 0.4926 0.4926
Sm 0.6223 0.6223 0.6223

Values from the calculation:
ΔE_f: -0.93 eV/atom
V: 229.0 Å³ per cell
Spin magnetization: 0.0 μB/cell

# 8
Compound: Ag3Sn2Pt2
Source: OQMD
Functional: PBE
Structure: optimized geometry

a = 4.5217 Å, b = 4.5217 Å, c = 16.1845 Å
α = 90.00°, β = 90.00°, γ = 120.00°
Sites, in units of the cell vectors:
Ag 0.0000 0.0000 0.1665
Ag 0.6667 0.3333 0.2500
Ag 0.0000 0.0000 0.3335
Ag 0.0000 0.0000 0.6665
Ag 0.3333 0.6667 0.7500
Ag 0.0000 0.0000 0.8335
Pt 0.0000 0.0000 0.0000
Pt 0.3333 0.6667 0.2500
Pt 0.0000 0.0000 0.5000
Pt 0.6667 0.3333 0.7500
Sn 0.3333 0.6667 0.0719
Sn 0.3333 0.6667 0.4281
Sn 0.6667 0.3333 0.5719
Sn 0.6667 0.3333 0.9281

Values from the calculation:
V: 286.6 Å³ per cell
E: -4.232 eV per atom
Spin magnetization: 0.0 μB/cell

What did the eighth record say?
Compound: Ag3Sn2Pt2
Source: OQMD
Functional: PBE
Structure: optimized geometry

a = 4.5217 Å, b = 4.5217 Å, c = 16.1845 Å
α = 90.00°, β = 90.00°, γ = 120.00°
Sites, in units of the cell vectors:
Ag 0.0000 0.0000 0.1665
Ag 0.6667 0.3333 0.2500
Ag 0.0000 0.0000 0.3335
Ag 0.0000 0.0000 0.6665
Ag 0.3333 0.6667 0.7500
Ag 0.0000 0.0000 0.8335
Pt 0.0000 0.0000 0.0000
Pt 0.3333 0.6667 0.2500
Pt 0.0000 0.0000 0.5000
Pt 0.6667 0.3333 0.7500
Sn 0.3333 0.6667 0.0719
Sn 0.3333 0.6667 0.4281
Sn 0.6667 0.3333 0.5719
Sn 0.6667 0.3333 0.9281

Values from the calculation:
V: 286.6 Å³ per cell
E: -4.232 eV per atom
Spin magnetization: 0.0 μB/cell